DFT (PBE) results for crystalline Nd2GeH2 at its relaxed geometry.

Unit cell a=3.8133 b=3.8151 c=6.7688 alpha=105.59 beta=105.42 gamma=92.52
Fractional coordinates of all 5 atoms:
Nd: 0.1407 0.1397 0.2786
Nd: 0.8593 0.8603 0.7214
Ge: 0.5000 0.5000 0.0000
H: 0.2504 0.7496 0.5000
H: 0.7496 0.2504 0.5000

Results
ρ (g/cm3): 6.6
Final energy (eV per atom): -4.85
SG: No. 2
Fermi-level density of states (states/eV per atom): 0.3069

---

DFT (PBE) results for crystalline Nd2GeH at its relaxed geometry.

Unit cell a=6.5091 b=6.5091 c=6.5091 alpha=37.91 beta=37.91 gamma=37.91
Fractional coordinates of all 4 atoms:
Nd: 0.2439 0.2439 0.2439
Nd: 0.7561 0.7561 0.7561
Ge: 0.0000 0.0000 0.0000
H: 0.5000 0.5000 0.5000

Results
ρ (g/cm3): 6.4
Final energy (eV per atom): -4.91
SG: No. 166
Fermi-level density of states (states/eV per atom): 0.7316

---

DFT (PBE) results for crystalline Nd2NiGeH at its relaxed geometry.

Unit cell a=6.1692 b=4.1070 c=8.1763 alpha=90.00 beta=107.56 gamma=90.00
Fractional coordinates of all 10 atoms:
Nd: 0.2230 0.2500 0.4093
Nd: 0.2445 0.2500 0.9660
Nd: 0.7555 0.7500 0.0340
Nd: 0.7770 0.7500 0.5907
Ni: 0.4400 0.7500 0.2388
Ni: 0.5600 0.2500 0.7612
Ge: 0.3234 0.7500 0.7044
Ge: 0.6766 0.2500 0.2956
H: 0.1670 0.7500 0.1708
H: 0.8330 0.2500 0.8292

Results
ρ (g/cm3): 7.1
Final energy (eV per atom): -5.27
SG: No. 11
Fermi-level density of states (states/eV per atom): 0.7165

---

DFT (PBE) results for crystalline NdNi2GeH at its relaxed geometry.

Unit cell a=5.6060 b=5.6060 c=6.8490 alpha=90.00 beta=90.00 gamma=139.27
Fractional coordinates of all 10 atoms:
Nd: 0.0633 0.9367 0.7500
Nd: 0.9367 0.0633 0.2500
Ni: 0.3364 0.6636 0.5576
Ni: 0.3364 0.6636 0.9424
Ni: 0.6636 0.3364 0.0576
Ni: 0.6636 0.3364 0.4424
Ge: 0.2197 0.7803 0.2500
Ge: 0.7803 0.2197 0.7500
H: 0.5000 0.5000 0.0000
H: 0.5000 0.5000 0.5000

Results
ρ (g/cm3): 7.9
Final energy (eV per atom): -5.44
SG: No. 63
Fermi-level density of states (states/eV per atom): 0.4897

---

DFT (PBE) results for crystalline Nd2GeHPd6 at its relaxed geometry.

Unit cell a=5.7764 b=5.7764 c=6.9168 alpha=115.00 beta=115.00 gamma=59.96
Fractional coordinates of all 10 atoms:
Nd: 0.2250 0.2250 0.1776
Nd: 0.7750 0.7750 0.8224
Ge: 0.5000 0.5000 0.0000
H: 0.0000 0.0000 0.5000
Pd: 0.2293 0.2293 0.6878
Pd: 0.2304 0.7330 0.6909
Pd: 0.2670 0.7696 0.3091
Pd: 0.7330 0.2304 0.6909
Pd: 0.7696 0.2670 0.3091
Pd: 0.7707 0.7707 0.3122

Results
ρ (g/cm3): 9.5
Final energy (eV per atom): -5.55
SG: No. 12
Fermi-level density of states (states/eV per atom): 0.5209

---

DFT (PBE) results for crystalline NdGeHPd2 at its relaxed geometry.

Unit cell a=5.8327 b=5.8327 c=7.4070 alpha=90.00 beta=90.00 gamma=139.75
Fractional coordinates of all 10 atoms:
Nd: 0.0568 0.9432 0.7500
Nd: 0.9432 0.0568 0.2500
Ge: 0.2266 0.7734 0.2500
Ge: 0.7734 0.2266 0.7500
H: 0.5000 0.5000 0.0000
H: 0.5000 0.5000 0.5000
Pd: 0.3405 0.6595 0.5554
Pd: 0.3405 0.6595 0.9446
Pd: 0.6595 0.3405 0.0554
Pd: 0.6595 0.3405 0.4446

Results
ρ (g/cm3): 8.8
Final energy (eV per atom): -5.38
SG: No. 63
Fermi-level density of states (states/eV per atom): 0.3074

---

DFT (PBE) results for crystalline Pm4Nd2Ge3H2 at its relaxed geometry.

Unit cell a=12.6151 b=12.6151 c=12.6151 alpha=158.68 beta=158.68 gamma=30.34
Fractional coordinates of all 11 atoms:
Pm: 0.0802 0.5802 0.5000
Pm: 0.4198 0.9198 0.5000
Pm: 0.5802 0.0802 0.5000
Pm: 0.9198 0.4198 0.5000
Nd: 0.2025 0.2025 0.0000
Nd: 0.7975 0.7975 0.0000
Ge: 0.3284 0.3284 0.0000
Ge: 0.5000 0.5000 0.0000
Ge: 0.6716 0.6716 0.0000
H: 0.1009 0.1009 0.0000
H: 0.8991 0.8991 0.0000

Results
ρ (g/cm3): 6.8
Final energy (eV per atom): -5.04
SG: No. 139
Fermi-level density of states (states/eV per atom): 0.9386

---

DFT (PBE) results for crystalline PmNdGeH at its relaxed geometry.

Unit cell a=4.9905 b=4.9905 c=4.9905 alpha=60.00 beta=60.00 gamma=60.00
Fractional coordinates of all 4 atoms:
Pm: 0.0000 0.0000 0.0000
Nd: 0.5000 0.5000 0.5000
Ge: 0.7500 0.7500 0.7500
H: 0.2500 0.2500 0.2500

Results
ρ (g/cm3): 6.9
Final energy (eV per atom): -4.80
SG: No. 216
Fermi-level density of states (states/eV per atom): 0.5304

---

Q: Which of these has the lowest final energy?
A: Nd2GeHPd6

---

Q: Which of these has the lowest ρ?
A: Nd2GeH